Here is a relaxed Cd2SnPb crystal from Alexandria. Energies are from GGA-PBE.

Lattice parameters (Å, degrees): 3.6788 3.6788 7.9025 90.00 90.00 90.00
Positions (direct):
Pb: 0.5000 0.5000 0.5000
Sn: 0.5000 0.5000 0.0000
Cd: 0.0000 0.0000 0.7640
Cd: 0.0000 0.0000 0.2360

## Properties
space-group type	P4/mmm
Fermi-level density of states	1.918	states/eV/f.u.
energy relative to the elements	0.08	eV per atom